1.
Crystalline Ho12Tm2In at its relaxed geometry. Source: Alexandria via LeMat-Bulk, functional PBE.

Raw total energy   -4.374 eV per atom
Calculated formation energy   67 meV/atom

The structure in CIF format:
```
data_Ho12Tm2In
_chemical_formula_sum 'Ho12 Tm2 In1'
_space_group_name_H-M_alt 'P 1 2/m 1'
_space_group_IT_number 10
_cell_length_a 3.555
_cell_length_b 5.341
_cell_length_c 24.391
_cell_angle_alpha 90.00
_cell_angle_beta 90.41
_cell_angle_gamma 90.00
loop_
_space_group_symop_operation_xyz
'x,y,z'
'-x,-y,-z'
'-x,y,-z'
'x,-y,z'
loop_
_atom_site_label
_atom_site_type_symbol
_atom_site_fract_x
_atom_site_fract_y
_atom_site_fract_z
Ho1 Ho 0.206 0.000 0.063
Ho2 Ho 0.239 0.000 0.200
Ho3 Ho 0.239 0.000 0.332
Ho4 Ho 0.243 0.500 0.424
Ho5 Ho 0.256 0.000 0.555
Ho6 Ho 0.274 0.500 0.870
Tm1 Tm 0.264 0.500 0.722
In1 In 0.500 0.500 0.000
```

2.
Crystalline Rb2Tl3Cd4Au at its relaxed geometry. Source: Alexandria via LeMat-Bulk, functional PBE.

Raw total energy   -1.660 eV per atom
Calculated formation energy   -63 meV/atom

The structure in CIF format:
```
data_Rb2Tl3Cd4Au
_chemical_formula_sum 'Rb2 Tl3 Cd4 Au1'
_space_group_name_H-M_alt 'P -4 m 2'
_space_group_IT_number 115
_cell_length_a 5.310
_cell_length_b 5.310
_cell_length_c 11.547
_cell_angle_alpha 90.00
_cell_angle_beta 90.00
_cell_angle_gamma 90.00
loop_
_space_group_symop_operation_xyz
'x,y,z'
'y,-x,-z'
'-x,-y,z'
'-y,x,-z'
'-x,y,z'
'-y,-x,-z'
'x,-y,z'
'y,x,-z'
loop_
_atom_site_label
_atom_site_type_symbol
_atom_site_fract_x
_atom_site_fract_y
_atom_site_fract_z
Rb1 Rb 0.000 0.500 0.240
Tl1 Tl 0.000 0.000 0.000
Tl2 Tl 0.000 0.500 0.629
Cd1 Cd 0.000 0.000 0.500
Cd2 Cd 0.000 0.500 0.890
Cd3 Cd 0.500 0.500 0.500
Au1 Au 0.500 0.500 0.000
```

3.
Crystalline ScReW at its relaxed geometry. Source: Alexandria via LeMat-Bulk, functional PBE.

Raw total energy   -10.763 eV per atom
Energy above the most stable polymorph in this dataset   5 meV per atom
Calculated formation energy   -186 meV/atom

The structure in CIF format:
```
data_ScReW
_chemical_formula_sum 'Sc8 Re8 W8'
_space_group_name_H-M_alt 'A m m 2'
_space_group_IT_number 38
_cell_length_a 8.605
_cell_length_b 5.389
_cell_length_c 9.288
_cell_angle_alpha 90.00
_cell_angle_beta 90.00
_cell_angle_gamma 90.00
loop_
_space_group_symop_operation_xyz
'x,y,z'
'-x,-y,z'
'-x,y,z'
'x,-y,z'
'x,y+1/2,z+1/2'
'-x,-y+1/2,z+1/2'
'-x,y+1/2,z+1/2'
'x,-y+1/2,z+1/2'
loop_
_atom_site_label
_atom_site_type_symbol
_atom_site_fract_x
_atom_site_fract_y
_atom_site_fract_z
Sc1 Sc 0.184 0.000 0.000
Sc2 Sc 0.309 0.000 0.666
Re1 Re 0.000 0.000 0.506
Re2 Re 0.000 0.242 0.747
Re3 Re 0.500 0.000 0.162
W1 W 0.246 0.000 0.331
W2 W 0.500 0.245 0.919
```

4.
Crystalline CaZnSi at its relaxed geometry. Source: Alexandria via LeMat-Bulk, functional PBE.

Raw total energy   -2.983 eV per atom

The structure in CIF format:
```
data_CaZnSi
_chemical_formula_sum 'Ca2 Zn2 Si2'
_space_group_name_H-M_alt 'I 4 m m'
_space_group_IT_number 107
_space_group_name_Hall 'I 4 -2'
_cell_length_a 3.448
_cell_length_b 3.448
_cell_length_c 10.509
_cell_angle_alpha 90.00
_cell_angle_beta 90.00
_cell_angle_gamma 90.00
loop_
_atom_site_label
_atom_site_type_symbol
_atom_site_fract_x
_atom_site_fract_y
_atom_site_fract_z
Ca1 Ca 0.000 0.000 0.000
Zn1 Zn 0.000 0.000 0.299
Si1 Si 0.000 0.000 0.697
```

5.
Crystalline BaS5Cl at its relaxed geometry. Source: Alexandria via LeMat-Bulk, functional PBE.

Raw total energy   -4.070 eV per atom

The structure in CIF format:
```
data_BaS5Cl
_chemical_formula_sum 'Ba4 S20 Cl4'
_space_group_name_H-M_alt 'C 1 2/c 1'
_space_group_IT_number 15
_cell_length_a 10.962
_cell_length_b 13.508
_cell_length_c 5.575
_cell_angle_alpha 90.00
_cell_angle_beta 94.48
_cell_angle_gamma 90.00
loop_
_space_group_symop_operation_xyz
'x,y,z'
'-x,-y,-z'
'-x,y,-z+1/2'
'x,-y,z+1/2'
'x+1/2,y+1/2,z'
'-x+1/2,-y+1/2,-z'
'-x+1/2,y+1/2,-z+1/2'
'x+1/2,-y+1/2,z+1/2'
loop_
_atom_site_label
_atom_site_type_symbol
_atom_site_fract_x
_atom_site_fract_y
_atom_site_fract_z
Ba1 Ba 0.250 0.250 0.000
S1 S 0.000 0.134 0.250
S2 S 0.088 0.450 0.268
S3 S 0.154 0.059 0.310
Cl1 Cl 0.000 0.270 0.750
```

6.
Crystalline MgZn4Sn4O8 at its relaxed geometry. Source: Alexandria via LeMat-Bulk, functional PBE.

Raw total energy   -4.956 eV per atom
Energy above the most stable polymorph in this dataset   19 meV per atom

The structure in CIF format:
```
data_MgZn4Sn4O8
_chemical_formula_sum 'Mg1 Zn4 Sn4 O8'
_space_group_name_H-M_alt 'P 1'
_space_group_IT_number 1
_cell_length_a 3.293
_cell_length_b 8.998
_cell_length_c 9.560
_cell_angle_alpha 94.05
_cell_angle_beta 99.39
_cell_angle_gamma 98.04
loop_
_space_group_symop_operation_xyz
'x,y,z'
loop_
_atom_site_label
_atom_site_type_symbol
_atom_site_fract_x
_atom_site_fract_y
_atom_site_fract_z
Mg1 Mg 0.000 0.000 0.000
Zn1 Zn 0.401 0.064 0.766
Zn2 Zn 0.502 0.857 0.194
Zn3 Zn 0.627 0.690 0.903
Zn4 Zn 0.645 0.841 0.550
Sn1 Sn 0.113 0.364 0.007
Sn2 Sn 0.217 0.156 0.408
Sn3 Sn 0.906 0.572 0.280
Sn4 Sn 0.987 0.505 0.638
O1 O 0.089 0.010 0.213
O2 O 0.092 0.533 0.864
O3 O 0.206 0.974 0.567
O4 O 0.428 0.902 0.922
O5 O 0.505 0.724 0.359
O6 O 0.573 0.669 0.673
O7 O 0.873 0.713 0.111
O8 O 0.981 0.161 0.857
```